The following is a GGA-PBE calculation of a relaxed RbTlAsSe crystal, from Alexandria via LeMat-Bulk.

Cell: 4.839 4.839 7.323 Å, 104.91 104.91 74.25°
Element x y z (fractional)
Rb  0.000  0.000  0.000
Tl  0.514  0.514  0.516
As  0.904  0.904  0.488
Se  0.656  0.656  0.187

ΔE to the lowest computed polymorph, eV/f.u.: 0.042
Space group: Cm (8)
Calculated volume, Å³ per atom: 39.0

***

The following is a GGA-PBE calculation of a relaxed RbTlAsSe crystal, from Alexandria via LeMat-Bulk.

Cell: 5.766 3.891 6.008 Å, 90.00 99.92 90.00°
Element x y z (fractional)
Rb  0.000  0.000  0.000
Tl  0.548  0.000  0.448
As  0.153  0.500  0.544
Se  0.464  0.500  0.862

ΔE to the lowest computed polymorph, eV/f.u.: 0.141
Space group: Pm (6)
Calculated volume, Å³ per atom: 33.2

***

The following is a GGA-PBE calculation of a relaxed RbTlAsSe crystal, from Alexandria via LeMat-Bulk.

Cell: 6.977 6.977 4.646 Å, 109.33 109.33 43.26°
Element x y z (fractional)
Rb  0.000  0.000  0.000
Tl  0.741  0.741  0.239
As  0.362  0.362  0.363
Se  0.562  0.562  0.562

ΔE to the lowest computed polymorph, eV/f.u.: 0.213
Space group: Cm (8)
Calculated volume, Å³ per atom: 36.2

***

The following is a GGA-PBE calculation of a relaxed Rb2U2AsSe2 crystal, from Alexandria via LeMat-Bulk.

Cell: 9.449 9.449 9.449 Å, 146.75 146.75 47.74°
Element x y z (fractional)
Rb  0.194  0.194  0.000
Rb  0.806  0.806  0.000
U  0.000  0.500  0.500
U  0.500  0.000  0.500
As  0.000  0.000  0.000
Se  0.399  0.399  0.000
Se  0.601  0.601  0.000

Space group: I4/mmm (139)
Calculated volume, Å³ per atom: 36.1

***

The following is a GGA-PBE calculation of a relaxed Rb2UAsSe4 crystal, from Alexandria via LeMat-Bulk.

Cell: 7.250 7.250 7.250 Å, 112.16 112.16 104.21°
Element x y z (fractional)
Rb  0.000  0.000  0.000
Rb  0.750  0.250  0.500
U  0.500  0.500  0.000
As  0.250  0.750  0.500
Se  0.177  0.106  0.593
Se  0.416  0.823  0.929
Se  0.513  0.584  0.407
Se  0.894  0.487  0.071

Space group: I-4 (82)
Calculated volume, Å³ per atom: 36.4

***

The following is a GGA-PBE calculation of a relaxed RbAs2WSe crystal, from Alexandria via LeMat-Bulk.

Cell: 4.961 4.961 5.210 Å, 90.00 90.00 90.00°
Element x y z (fractional)
Rb  0.000  0.000  0.000
As  0.000  0.500  0.500
As  0.500  0.000  0.500
W  0.500  0.500  0.500
Se  0.500  0.500  0.000

ΔE to the lowest computed polymorph, eV/f.u.: 0.000
Space group: P4/mmm (123)
Calculated volume, Å³ per atom: 25.6

***

The following is a GGA-PBE calculation of a relaxed RbAs2WSe crystal, from Alexandria via LeMat-Bulk.

Cell: 5.238 5.238 5.370 Å, 90.00 90.00 90.00°
Element x y z (fractional)
Rb  0.000  0.000  0.000
As  0.000  0.500  0.000
As  0.500  0.000  0.000
W  0.500  0.500  0.500
Se  0.000  0.000  0.500

ΔE to the lowest computed polymorph, eV/f.u.: 13.759
Space group: P4/mmm (123)
Calculated volume, Å³ per atom: 29.5

***

The following is a GGA-PBE calculation of a relaxed Rb2YAsSe4 crystal, from Alexandria via LeMat-Bulk.

Cell: 8.759 8.759 8.759 Å, 120.10 119.92 89.99°
Element x y z (fractional)
Rb  0.000  0.000  0.000
Rb  0.500  0.000  0.000
Rb  0.500  0.000  0.500
Rb  0.500  0.500  0.500
Y  0.000  0.500  0.500
Y  0.500  0.500  0.000
As  0.000  0.000  0.500
As  0.000  0.500  0.000
Se  0.191  0.734  0.457
Se  0.223  0.266  0.957
Se  0.228  0.259  0.532
Se  0.228  0.696  0.968
Se  0.772  0.304  0.032
Se  0.772  0.741  0.468
Se  0.777  0.734  0.043
Se  0.809  0.266  0.543

Space group: Imma (74)
Calculated volume, Å³ per atom: 29.7

***

The following is a GGA-PBE calculation of a relaxed RbZnAs2Se crystal, from Alexandria via LeMat-Bulk.

Cell: 4.975 4.975 5.395 Å, 90.00 90.00 90.00°
Element x y z (fractional)
Rb  0.000  0.000  0.000
Zn  0.500  0.500  0.500
As  0.000  0.500  0.500
As  0.500  0.000  0.500
Se  0.500  0.500  0.000

ΔE to the lowest computed polymorph, eV/f.u.: 0.000
Space group: P4/mmm (123)
Calculated volume, Å³ per atom: 26.7

***

The following is a GGA-PBE calculation of a relaxed RbZnAs2Se crystal, from Alexandria via LeMat-Bulk.

Cell: 7.309 7.309 6.584 Å, 90.00 90.00 90.00°
Element x y z (fractional)
Rb  0.000  0.000  0.000
Zn  0.500  0.500  0.500
As  0.000  0.500  0.000
As  0.500  0.000  0.000
Se  0.000  0.000  0.500

ΔE to the lowest computed polymorph, eV/f.u.: 6.058
Space group: P4/mmm (123)
Calculated volume, Å³ per atom: 70.4

***

The following is a GGA-PBE calculation of a relaxed RbZrAsSe2 crystal, from Alexandria via LeMat-Bulk.

Cell: 5.338 5.338 5.296 Å, 90.00 90.00 90.00°
Element x y z (fractional)
Rb  0.000  0.000  0.000
Zr  0.500  0.500  0.500
As  0.500  0.500  0.000
Se  0.000  0.500  0.500
Se  0.500  0.000  0.500

ΔE to the lowest computed polymorph, eV/f.u.: 0.000
Space group: P4/mmm (123)
Calculated volume, Å³ per atom: 30.2

***

The following is a GGA-PBE calculation of a relaxed Rb2ZrAsSe5 crystal, from Alexandria via LeMat-Bulk.

Cell: 10.292 10.292 14.292 Å, 90.00 90.00 156.03°
Element x y z (fractional)
Rb  0.121  0.879  0.500
Rb  0.138  0.862  0.858
Rb  0.862  0.138  0.358
Rb  0.879  0.121  0.000
Zr  0.201  0.799  0.207
Zr  0.799  0.201  0.707
As  0.434  0.566  0.592
As  0.566  0.434  0.092
Se  0.054  0.946  0.182
Se  0.314  0.686  0.567
Se  0.314  0.686  0.820
Se  0.322  0.678  0.174
Se  0.487  0.513  0.450
Se  0.513  0.487  0.950
Se  0.678  0.322  0.674
Se  0.686  0.314  0.067
Se  0.686  0.314  0.320
Se  0.946  0.054  0.682

Space group: Cmc2_1 (36)
Calculated volume, Å³ per atom: 34.2

***

Number 1: formation energy without anion corrections -366 meV/atom. Number 2: formation energy without anion corrections -341 meV/atom. Number 3: formation energy without anion corrections -323 meV/atom. Number 4: formation energy without anion corrections -544 meV/atom. Number 5: formation energy without anion corrections -699 meV/atom. Number 6: formation energy without anion corrections -18 meV/atom. Number 7: formation energy without anion corrections 2734 meV/atom. Number 8: formation energy without anion corrections -1051 meV/atom. Number 9: formation energy without anion corrections 138 meV/atom. Number 10: formation energy without anion corrections 1349 meV/atom. Number 11: formation energy without anion corrections -767 meV/atom. Number 12: formation energy without anion corrections -905 meV/atom.